# As2RuAu, relaxed, DFT PBE-GGA
data_As2RuAu
_chemical_formula_sum 'As8 Ru4 Au4'
_cell_length_a 5.8744
_cell_length_b 5.8744
_cell_length_c 10.5820
_cell_angle_alpha 90.00
_cell_angle_beta 90.00
_cell_angle_gamma 90.00
_space_group_name_H-M_alt 'I -4 2 d'
_space_group_IT_number 122
_space_group_name_Hall 'I -4 2bw'
loop_
_atom_site_label
_atom_site_type_symbol
_atom_site_fract_x
_atom_site_fract_y
_atom_site_fract_z
As1 As 0.2188 0.2500 0.1250
Ru1 Ru 0.0000 0.0000 0.0000
Au1 Au 0.0000 0.0000 0.5000
# Formation energy from the elements   0.136 eV/atom
# DOS at the Fermi energy   0.56 states/eV/atom
# Relative energy among the computed polymorphs   90 meV/atom


# AsRuAu2, relaxed, DFT PBE-GGA
data_AsRuAu2
_chemical_formula_sum 'As1 Ru1 Au2'
_cell_length_a 2.8394
_cell_length_b 2.8394
_cell_length_c 8.6988
_cell_angle_alpha 90.00
_cell_angle_beta 90.00
_cell_angle_gamma 90.00
_space_group_name_H-M_alt 'P 4/m m m'
_space_group_IT_number 123
_space_group_name_Hall '-P 4 2'
loop_
_atom_site_label
_atom_site_type_symbol
_atom_site_fract_x
_atom_site_fract_y
_atom_site_fract_z
As1 As 0.0000 0.0000 0.0000
Ru1 Ru 0.0000 0.0000 0.5000
Au1 Au 0.5000 0.5000 0.2657
# Formation energy from the elements   0.380 eV/atom
# DOS at the Fermi energy   0.45 states/eV/atom


# AsRuAu, relaxed, DFT PBE-GGA
data_AsRuAu
_chemical_formula_sum 'As4 Ru4 Au4'
_cell_length_a 3.1976
_cell_length_b 4.7783
_cell_length_c 14.3226
_cell_angle_alpha 90.00
_cell_angle_beta 90.00
_cell_angle_gamma 90.00
_space_group_name_H-M_alt 'F m m 2'
_space_group_IT_number 42
_space_group_name_Hall 'F 2 -2'
loop_
_atom_site_label
_atom_site_type_symbol
_atom_site_fract_x
_atom_site_fract_y
_atom_site_fract_z
As1 As 0.0000 0.0000 0.0000
Ru1 Ru 0.0000 0.0000 0.3774
Au1 Au 0.0000 0.0000 0.7127
# Formation energy from the elements   0.295 eV/atom
# DOS at the Fermi energy   0.59 states/eV/atom
# Relative energy among the computed polymorphs   185 meV/atom


# AsRu3Au, relaxed, DFT PBE-GGA
data_AsRu3Au
_chemical_formula_sum 'As1 Ru3 Au1'
_cell_length_a 4.8754
_cell_length_b 4.8754
_cell_length_c 4.8754
_cell_angle_alpha 90.00
_cell_angle_beta 90.00
_cell_angle_gamma 90.00
_space_group_name_H-M_alt 'P m -3 m'
_space_group_IT_number 221
_space_group_name_Hall '-P 4 2 3'
loop_
_atom_site_label
_atom_site_type_symbol
_atom_site_fract_x
_atom_site_fract_y
_atom_site_fract_z
As1 As 0.0000 0.0000 0.0000
Ru1 Ru 0.0000 0.5000 0.5000
Au1 Au 0.5000 0.5000 0.5000
# Formation energy from the elements   2.172 eV/atom
# DOS at the Fermi energy   0.95 states/eV/atom
# Relative energy among the computed polymorphs   1194 meV/atom


# As2RuAu, relaxed, DFT PBE-GGA
data_As2RuAu
_chemical_formula_sum 'As8 Ru4 Au4'
_cell_length_a 6.4441
_cell_length_b 6.4441
_cell_length_c 6.4441
_cell_angle_alpha 90.00
_cell_angle_beta 90.00
_cell_angle_gamma 90.00
_space_group_name_H-M_alt 'F m -3 m'
_space_group_IT_number 225
_space_group_name_Hall '-F 4 2 3'
loop_
_atom_site_label
_atom_site_type_symbol
_atom_site_fract_x
_atom_site_fract_y
_atom_site_fract_z
As1 As 0.2500 0.2500 0.2500
Ru1 Ru 0.0000 0.0000 0.0000
Au1 Au 0.0000 0.0000 0.5000
# Formation energy from the elements   0.342 eV/atom
# DOS at the Fermi energy   1.14 states/eV/atom
# Relative energy among the computed polymorphs   296 meV/atom


# AsRuAu2, relaxed, DFT PBE-GGA
data_AsRuAu2
_chemical_formula_sum 'As1 Ru1 Au2'
_cell_length_a 3.0876
_cell_length_b 3.0876
_cell_length_c 7.1513
_cell_angle_alpha 90.00
_cell_angle_beta 90.00
_cell_angle_gamma 90.00
_space_group_name_H-M_alt 'P 4 m m'
_space_group_IT_number 99
loop_
_space_group_symop_operation_xyz
'x,y,z'
'-y,x,z'
'-x,-y,z'
'y,-x,z'
'-x,y,z'
'y,x,z'
'x,-y,z'
'-y,-x,z'
loop_
_atom_site_label
_atom_site_type_symbol
_atom_site_fract_x
_atom_site_fract_y
_atom_site_fract_z
As1 As 0.0000 0.0000 0.0000
Ru1 Ru 0.5000 0.5000 0.8297
Au1 Au 0.0000 0.0000 0.5566
Au2 Au 0.5000 0.5000 0.2899
# Formation energy from the elements   0.088 eV/atom
# DOS at the Fermi energy   0.64 states/eV/atom


# AsRuAu3, relaxed, DFT PBE-GGA
data_AsRuAu3
_chemical_formula_sum 'As1 Ru1 Au3'
_cell_length_a 4.8112
_cell_length_b 4.8112
_cell_length_c 4.8112
_cell_angle_alpha 90.00
_cell_angle_beta 90.00
_cell_angle_gamma 90.00
_space_group_name_H-M_alt 'P m -3 m'
_space_group_IT_number 221
_space_group_name_Hall '-P 4 2 3'
loop_
_atom_site_label
_atom_site_type_symbol
_atom_site_fract_x
_atom_site_fract_y
_atom_site_fract_z
As1 As 0.0000 0.0000 0.0000
Ru1 Ru 0.5000 0.5000 0.5000
Au1 Au 0.0000 0.0000 0.5000
# Formation energy from the elements   1.014 eV/atom
# DOS at the Fermi energy   0.67 states/eV/atom
# Relative energy among the computed polymorphs   0 meV/atom


# As2RuAu, relaxed, DFT PBE-GGA
data_As2RuAu
_chemical_formula_sum 'As4 Ru2 Au2'
_cell_length_a 8.2449
_cell_length_b 3.1178
_cell_length_c 5.4517
_cell_angle_alpha 90.00
_cell_angle_beta 100.46
_cell_angle_gamma 90.00
_space_group_name_H-M_alt 'C 1 2/m 1'
_space_group_IT_number 12
loop_
_space_group_symop_operation_xyz
'x,y,z'
'-x,-y,-z'
'-x,y,-z'
'x,-y,z'
'x+1/2,y+1/2,z'
'-x+1/2,-y+1/2,-z'
'-x+1/2,y+1/2,-z'
'x+1/2,-y+1/2,z'
loop_
_atom_site_label
_atom_site_type_symbol
_atom_site_fract_x
_atom_site_fract_y
_atom_site_fract_z
As1 As 0.2292 0.0000 0.2141
Ru1 Ru 0.0000 0.5000 0.0000
Au1 Au 0.0000 0.0000 0.5000
# Formation energy from the elements   0.159 eV/atom
# DOS at the Fermi energy   0.82 states/eV/atom
# Relative energy among the computed polymorphs   113 meV/atom